# ScTiCu | Alexandria | PBE | relaxed
# Total DFT energy (no corrections): -6.097 eV per atom
# DFT formation energy: 11 meV/atom
# E above lowest polymorph: 94 meV/atom
# M_tot: 0.000 μB/f.u.
data_ScTiCu
_symmetry_space_group_name_H-M 'P 63/m m c'
_symmetry_Int_Tables_number 194
_symmetry_space_group_name_Hall '-P 6c 2c'
_cell_length_a 4.4448
_cell_length_b 4.4448
_cell_length_c 6.1267
_cell_angle_alpha 90.00
_cell_angle_beta 90.00
_cell_angle_gamma 120.00
loop_
_atom_site_label
_atom_site_type_symbol
_atom_site_fract_x
_atom_site_fract_y
_atom_site_fract_z
Sc1 Sc 0.0000 0.0000 0.0000
Ti1 Ti 0.3333 0.6667 0.2500
Cu1 Cu 0.3333 0.6667 0.7500